# 1
## Rb2LaNF6 (PBE-GGA)

Data for Rb2LaNF6 after structural relaxation.

The calculation puts the theoretical density at 3615 kg/m³. The space-group type is I4/mmm. The formation energy (no corrections) comes out at -2.2256 eV/atom.

```
Rb2LaNF6
1.0
-2.9701 2.9701 5.6991
2.9701 -2.9701 5.6991
2.9701 2.9701 -5.6991
Rb La N F
2 1 1 6
Direct
0.2500 0.7500 0.5000 Rb
0.7500 0.2500 0.5000 Rb
0.0000 0.0000 0.0000 La
0.5000 0.5000 0.0000 N
0.2024 0.2024 0.0000 F
0.2735 0.2735 0.5471 F
0.2735 0.7265 0.0000 F
0.7265 0.2735 0.0000 F
0.7265 0.7265 0.4529 F
0.7976 0.7976 0.0000 F
```

# 2
## LaRuNF2 (PBE-GGA)

Data for LaRuNF2 after structural relaxation.

As for the energy above the most stable polymorph in this dataset: 0.0000 eV/atom. The calculation puts the theoretical density at 6452 kg/m³. The space-group type is P4/mmm. The formation energy (no corrections) comes out at -1.2606 eV/atom.

```
LaRuNF2
1.0
4.4677 0.0000 0.0000
0.0000 4.4677 0.0000
0.0000 0.0000 3.7650
La Ru N F
1 1 1 2
Direct
0.0000 0.0000 0.0000 La
0.5000 0.5000 0.5000 Ru
0.5000 0.5000 0.0000 N
0.0000 0.5000 0.5000 F
0.5000 0.0000 0.5000 F
```

# 3
## LaRuNF2 (PBE-GGA)

Data for LaRuNF2 after structural relaxation.

As for the energy above the most stable polymorph in this dataset: 0.5254 eV/atom. The calculation puts the theoretical density at 4808 kg/m³. The space-group type is P4/mmm. The formation energy (no corrections) comes out at -0.7352 eV/atom.

```
LaRuNF2
1.0
4.5442 0.0000 0.0000
0.0000 4.5442 0.0000
0.0000 0.0000 4.8835
La Ru N F
1 1 1 2
Direct
0.0000 0.0000 0.0000 La
0.5000 0.5000 0.5000 Ru
0.0000 0.0000 0.5000 N
0.0000 0.5000 0.0000 F
0.5000 0.0000 0.0000 F
```

# 4
## LaSN2F (PBE-GGA)

Data for LaSN2F after structural relaxation.

As for the energy above the most stable polymorph in this dataset: 0.9283 eV/atom. The calculation puts the theoretical density at 3745 kg/m³. The space-group type is P4/mmm. The formation energy (no corrections) comes out at 0.5318 eV/atom.

```
LaSN2F
1.0
4.6645 0.0000 0.0000
0.0000 4.6645 0.0000
0.0000 0.0000 4.4418
La S N F
1 1 2 1
Direct
0.0000 0.0000 0.0000 La
0.5000 0.5000 0.5000 S
0.0000 0.5000 0.0000 N
0.5000 0.0000 0.0000 N
0.0000 0.0000 0.5000 F
```

| no. | calculated volume (Å³/cell) | total magnetic moment (μB/cell) |
| --- | --- | --- |
| 1 | 201.1 | 0.00 |
| 2 | 75.2 | 0.39 |
| 3 | 100.8 | 3.98 |
| 4 | 96.6 | 0.00 |